DFT (SCAN) results for TlCo3Ru at its PBEsol-relaxed geometry.

The structure in extended XYZ format:
```
5
Lattice="4.575 0.000 0.000 0.000 4.575 0.000 0.000 0.000 4.575" Properties=species:S:1:pos:R:3 pbc="T T T"
Co 0.000 0.000 2.288
Tl 0.000 0.000 0.000
Co 2.288 0.000 0.000
Co 0.000 2.288 0.000
Ru 2.288 2.288 2.288
```

Results
As for the space-group type: Pm-3m.

=====

DFT (SCAN) results for Tm2CoRu at its PBEsol-relaxed geometry.

The structure in extended XYZ format:
```
4
Lattice="4.614 0.000 0.000 2.307 3.996 0.000 2.307 1.332 3.767" Properties=species:S:1:pos:R:3 pbc="T T T"
Tm 6.921 3.996 2.825
Ru 0.000 0.000 0.000
Tm 2.307 1.332 0.942
Co 4.614 2.664 1.884
```

Results
As for the space-group type: Fm-3m.

=====

DFT (SCAN) results for Co2RuW at its PBEsol-relaxed geometry.

The structure in extended XYZ format:
```
4
Lattice="-0.360 3.571 -0.607 -1.762 0.360 3.164 3.180 0.609 1.701" Properties=species:S:1:pos:R:3 pbc="T T T"
W 1.590 0.305 0.851
Co -0.180 1.785 -0.303
Co -0.881 0.180 1.582
Ru 0.529 2.270 2.129
```

Results
As for the energy relative to the lowest polymorph listed for this composition: 0.000 eV per atom. As for the space-group type: P4/mmm.

=====

DFT (SCAN) results for CoRuW at its PBEsol-relaxed geometry.

The structure in extended XYZ format:
```
3
Lattice="3.960 0.000 0.000 1.980 3.430 0.000 1.980 1.143 3.233" Properties=species:S:1:pos:R:3 pbc="T T T"
Co 1.980 1.143 0.808
W 3.960 2.286 1.617
Ru 0.000 0.000 0.000
```

Results
As for the space-group type: F-43m.

=====

DFT (SCAN) results for CoRu3W at its PBEsol-relaxed geometry.

The structure in extended XYZ format:
```
5
Lattice="4.571 0.000 0.000 0.000 4.571 0.000 0.000 0.000 4.571" Properties=species:S:1:pos:R:3 pbc="T T T"
Ru 2.286 0.000 0.000
Co 2.286 2.286 2.286
Ru 0.000 2.286 0.000
Ru 0.000 0.000 2.286
W 0.000 0.000 0.000
```

Results
As for the space-group type: Pm-3m.

=====

DFT (SCAN) results for Co2RuW at its PBEsol-relaxed geometry.

The structure in extended XYZ format:
```
4
Lattice="-0.944 -0.068 -2.440 -3.830 -0.437 1.494 -0.484 4.454 0.062" Properties=species:S:1:pos:R:3 pbc="T T T"
Co -2.259 2.943 0.791
Ru -0.742 2.448 -1.185
Co -0.014 0.125 0.002
W -2.486 0.660 -0.461
```

Results
As for the energy relative to the lowest polymorph listed for this composition: 0.029 eV per atom. As for the space-group type: Pmm2.

=====

DFT (SCAN) results for Co2RuW at its PBEsol-relaxed geometry.

The structure in extended XYZ format:
```
4
Lattice="-2.612 0.024 -0.445 1.986 -1.137 -3.826 -0.370 -4.047 1.948" Properties=species:S:1:pos:R:3 pbc="T T T"
Ru -1.306 0.012 -0.223
W -0.185 -2.023 0.974
Co 0.247 -1.541 -1.530
Co -1.242 -3.618 -0.793
```

Results
As for the energy relative to the lowest polymorph listed for this composition: 0.136 eV per atom. As for the space-group type: C2/m.

=====

DFT (SCAN) results for Co2RuW at its PBEsol-relaxed geometry.

The structure in extended XYZ format:
```
4
Lattice="3.646 0.000 0.000 0.000 3.646 0.000 -1.823 -1.823 3.653" Properties=species:S:1:pos:R:3 pbc="T T T"
W 1.823 1.823 0.000
Ru 0.000 0.000 0.000
Co 0.000 1.823 1.826
Co 1.823 0.000 1.826
```

Results
As for the energy relative to the lowest polymorph listed for this composition: 0.046 eV per atom. As for the space-group type: I4/mmm.

=====

DFT (SCAN) results for YCo2Ru at its PBEsol-relaxed geometry.

The structure in extended XYZ format:
```
4
Lattice="4.357 0.000 0.000 2.179 3.773 0.000 2.179 1.258 3.558" Properties=species:S:1:pos:R:3 pbc="T T T"
Co 0.000 0.000 0.000
Co 6.536 3.773 2.668
Ru 4.357 2.516 1.779
Y 2.179 1.258 0.889
```

Results
As for the energy relative to the lowest polymorph listed for this composition: 0.084 eV per atom. As for the space-group type: F-43m.

=====

DFT (SCAN) results for YCo2Ru at its PBEsol-relaxed geometry.

The structure in extended XYZ format:
```
4
Lattice="-2.211 1.321 1.636 -0.400 -3.672 2.425 4.279 2.695 0.760" Properties=species:S:1:pos:R:3 pbc="T T T"
Y 1.308 -1.066 2.627
Ru 2.842 1.453 2.668
Co 0.331 1.395 2.167
Co 0.161 0.082 0.151
```

Results
As for the energy relative to the lowest polymorph listed for this composition: 0.000 eV per atom. As for the space-group type: Imm2.

=====

DFT (SCAN) results for YCo2Ru at its PBEsol-relaxed geometry.

The structure in extended XYZ format:
```
4
Lattice="3.254 0.000 0.000 0.000 4.184 0.000 0.000 0.000 4.301" Properties=species:S:1:pos:R:3 pbc="T T T"
Y 0.000 2.092 2.150
Co 0.000 0.000 0.000
Co 1.627 0.000 2.150
Ru 1.627 2.092 0.000
```

Results
As for the energy relative to the lowest polymorph listed for this composition: 0.030 eV per atom. As for the space-group type: Pmmm.

=====

DFT (SCAN) results for YCo3Ru at its PBEsol-relaxed geometry.

The structure in extended XYZ format:
```
5
Lattice="-1.452 4.004 1.010 -4.026 -1.134 -1.292 -0.920 -1.357 4.059" Properties=species:S:1:pos:R:3 pbc="T T T"
Co -2.013 -0.567 -0.646
Co -0.460 -0.679 2.029
Ru -3.199 0.757 1.888
Co -0.726 2.002 0.505
Y 0.000 0.000 0.000
```

Results
As for the space-group type: Pm-3m.

=====

Number 1: calculated formation energy 2.122 eV/atom, electronic total energy -29.6977 eV per atom. Number 2: calculated formation energy -0.412 eV/atom, electronic total energy -39.3606 eV per atom. Number 3: calculated formation energy 0.101 eV/atom, electronic total energy -34.6796 eV per atom. Number 4: calculated formation energy 0.699 eV/atom, electronic total energy -39.9075 eV per atom. Number 5: calculated formation energy 1.857 eV/atom, electronic total energy -36.4371 eV per atom. Number 6: calculated formation energy 0.130 eV/atom, electronic total energy -34.6505 eV per atom. Number 7: calculated formation energy 0.237 eV/atom, electronic total energy -34.5435 eV per atom. Number 8: calculated formation energy 0.147 eV/atom, electronic total energy -34.6338 eV per atom. Number 9: calculated formation energy 0.215 eV/atom, electronic total energy -24.1049 eV per atom. Number 10: calculated formation energy 0.130 eV/atom, electronic total energy -24.1890 eV per atom. Number 11: calculated formation energy 0.161 eV/atom, electronic total energy -24.1589 eV per atom. Number 12: calculated formation energy 2.004 eV/atom, electronic total energy -20.9125 eV per atom.